Here is SrZrRe2N after structural relaxation from Alexandria via LeMat-Bulk. Energies are from GGA-PBE.

Geometry as POSCAR:
```
SrZrRe2N
1.0
4.7391 0.0000 0.0000
0.0000 6.7529 0.0000
0.0000 0.0000 4.7391
Sr Zr Re N
1 1 2 1
Direct
0.0000 0.5000 0.0000 Sr
0.0000 0.0000 0.0000 Zr
0.0000 0.0000 0.5000 Re
0.5000 0.0000 0.0000 Re
0.5000 0.5000 0.5000 N
```

Summary:
uncorrected energy: -5.9112 eV/atom